Record 1
{"formula": "P2RhOF", "functional": "GGA-PBEsol", "state": "relaxed", "cell": [[3.941, 0.000, 0.000], [0.000, 3.941, 0.000], [0.000, 0.000, 4.035]], "species": ["O", "P", "P", "Rh", "F"], "frac_coords": [[0.000, 0.000, 0.500], [0.500, 0.000, 0.000], [0.000, 0.500, 0.000], [0.500, 0.500, 0.500], [0.000, 0.000, 0.000]], "crystal_system": "tetragonal", "e_form_raw_ev_per_atom": 0.7231}

=====

Record 2
{"formula": "PSO2F", "functional": "GGA-PBEsol", "state": "relaxed", "cell": [[-2.684, -2.199, 1.168], [0.639, -2.489, -3.218], [2.727, -2.156, 2.208]], "species": ["O", "O", "F", "S", "P"], "frac_coords": [[0.000, 0.000, 0.500], [0.000, 0.500, 0.000], [0.000, 0.000, 0.000], [0.500, 0.500, 0.500], [0.500, 0.000, 0.000]], "crystal_system": "tetragonal", "e_form_raw_ev_per_atom": 1.1260}